CuOs2W (SCAN, single point on PBEsol structure); energy above the lowest structure with this stoichiometry = 0.21 eV per formula unit; crystal system = monoclinic; ΔE_f = 0.861 eV per formula unit; space-group type = C2/m (12)
1.0
-1.878 0.789 1.797
-1.991 -0.012 -4.129
-0.755 -4.533 1.199
Cu Os W
1 2 1
Direct
0.500 0.000 0.000 Cu
0.749 0.498 0.764 Os
0.251 0.502 0.236 Os
0.000 0.000 0.500 W